Computed, not measured: an optimized crystal structure of Pm12Co5Hg at the PBE-GGA level of DFT.

Results
- Crystal system: orthorhombic
- Space-group type: Immm (71)
- Energy of formation from the pure elements: -0.14 eV/atom
- Fermi-level density of states: 16.95 states/eV/cell
- Uncorrected energy: -5.30 eV/atom

```
18
Lattice="7.9516 0.0983 -3.0129 -4.0977 6.9910 -2.5790 0.0147 -0.0983 8.5033" Properties=species:S:1:pos:R:3 pbc="T T T"
Co 2.3922 4.4005 -3.4711
Hg -2.0415 3.4463 2.9622
Pm -2.5217 6.8580 3.6590
Pm 4.2298 2.2817 -2.8099
Pm -0.0866 2.7472 0.1257
Pm -2.4417 5.6861 0.0805
Pm 2.7336 4.8075 -0.6390
Co 0.3465 6.2126 -0.5028
Pm 6.3103 1.3049 2.8309
Co 3.5221 0.7784 3.4142
Co 1.4617 2.6887 -2.1208
Pm 6.3904 0.1329 -0.7476
Pm -0.3612 4.7092 5.7213
Co 0.0000 0.0000 0.0000
Pm 3.0748 1.3049 0.6010
Pm 1.1350 2.1835 3.5504
Pm 3.9552 4.2437 2.7857
Pm 0.7938 5.6861 2.3104
```



Computed, not measured: an optimized crystal structure of ReSbMo2 at the PBE-GGA level of DFT.

Results
- Crystal system: tetragonal
- Space-group type: P4/mmm (123)
- Fermi-level density of states: 3.38 states/eV/cell
- Uncorrected energy: -9.05 eV/atom

```
4
Lattice="4.4385 0.0000 0.0000 0.0000 3.8866 0.0000 0.0000 0.0000 3.8866" Properties=species:S:1:pos:R:3 pbc="T T T"
Mo 0.0000 0.0000 0.0000
Re 2.2192 1.9433 0.0000
Mo 0.0000 1.9433 1.9433
Sb 2.2192 0.0000 1.9433
```